Compound: TaFe3H
Source: the Alexandria database
Functional: SCAN
Structure: single point on PBEsol structure

Properties
- N(E_F) (states/eV/cell) = 2.67
- calculated total energy (eV per atom) = -24.86
- volume (A^3/atom) = 9.692

Structure (CIF):
```
data_TaFe3H
_chemical_formula_sum 'Ta1 Fe3 H1'
_cell_length_a 3.646
_cell_length_b 3.646
_cell_length_c 3.646
_cell_angle_alpha 90.00
_cell_angle_beta 90.00
_cell_angle_gamma 90.00
_symmetry_space_group_name_H-M 'P m -3 m'
_symmetry_Int_Tables_number 221
_symmetry_space_group_name_Hall '-P 4 2 3'
loop_
_atom_site_label
_atom_site_type_symbol
_atom_site_fract_x
_atom_site_fract_y
_atom_site_fract_z
Ta1 Ta 0.000 0.000 0.000
Fe1 Fe 0.000 0.500 0.500
H1 H 0.500 0.500 0.500
```